# 1
Entry from Alexandria: a relaxed NaSrTl3 crystal (PBE).

The calculation puts the density of states at the Fermi level at 0.791 states/eV/atom. For the total energy, the calculation gives -9.83 eV per cell. Its energy above the most stable polymorph in this dataset is 120 kJ/mol of formula units. The symmetry is Pm-3m, No. 221. The total moment is 0.000 μB per formula unit.

a b c (Å): 5.600 5.600 5.600
angles (deg): 90.00 90.00 90.00
Fractional coordinates of all 5 atoms:
Na1 0.000 0.000 0.000
Sr1 0.500 0.500 0.500
Tl1 0.000 0.000 0.500
Tl2 0.000 0.500 0.000
Tl3 0.500 0.000 0.000

---

# 2
Entry from Alexandria: a relaxed Ho6TlBi2 crystal (PBE).

The calculation puts the density of states at the Fermi level at 1.244 states/eV/atom. For the total energy, the calculation gives -41.49 eV per cell. The symmetry is P-62m, No. 189. The total moment is 2.927 μB per formula unit.

a b c (Å): 8.428 8.428 4.318
angles (deg): 90.00 90.00 120.00
Fractional coordinates of all 9 atoms:
Ho1 0.000 0.256 0.000
Ho2 0.000 0.599 0.500
Ho3 0.256 0.000 0.000
Ho4 0.401 0.401 0.500
Ho5 0.599 0.000 0.500
Ho6 0.744 0.744 0.000
Tl1 0.000 0.000 0.500
Bi1 0.333 0.667 0.000
Bi2 0.667 0.333 0.000

---

Please write out number 1 again, unchanged.
Entry from Alexandria: a relaxed NaSrTl3 crystal (PBE).

The calculation puts the density of states at the Fermi level at 0.791 states/eV/atom. For the total energy, the calculation gives -9.83 eV per cell. Its energy above the most stable polymorph in this dataset is 120 kJ/mol of formula units. The symmetry is Pm-3m, No. 221. The total moment is 0.000 μB per formula unit.

a b c (Å): 5.600 5.600 5.600
angles (deg): 90.00 90.00 90.00
Fractional coordinates of all 5 atoms:
Na1 0.000 0.000 0.000
Sr1 0.500 0.500 0.500
Tl1 0.000 0.000 0.500
Tl2 0.000 0.500 0.000
Tl3 0.500 0.000 0.000